K6Rb5Na: relaxed, PBE-GGA.

M_tot = 0.00 μB per formula unit
formation energy from the elements = 0.016 eV per atom

Lattice parameters (Å, degrees): 15.0113 20.1202 6.7627 90.00 116.69 90.00
Last column: nearest neighbours and their distance in Å.
Space group C2/m (No. 12)
Unique sites:
K 0.2324 0.0000 0.2335  6 Rb 4.50-4.93, 2 Na 4.59-4.61, 4 K 4.68-4.69
K 0.2405 0.1612 0.7403  1 Na 4.57, 7 Rb 4.67-4.99, 4 K 4.68-4.93
Rb 0.0000 0.1614 0.0000  8 K 4.50-4.99, 2 Na 4.69, 2 Rb 4.87
Rb 0.0000 0.3352 0.5000  4 Rb 4.74-4.87, 8 K 4.76-4.89
Rb 0.0000 0.5000 0.0000  4 Rb 4.74, 8 K 4.76-4.93
Na 0.0000 0.0000 0.5000  8 K 4.57-4.61, 4 Rb 4.69